Material: BiIrN2
Method: DFT, SCAN
State: PBEsol geometry

POSCAR file:
```
BiIrN2
1.0
-2.724 2.724 4.246
2.724 -2.724 4.246
2.724 2.724 -4.246
Bi Ir N
2 2 4
Cartesian
0.000 0.000 0.000
0.000 2.724 2.123
2.724 0.000 2.123
0.000 0.000 4.246
1.362 1.818 -1.061
3.630 1.362 1.061
1.362 0.906 3.184
-0.906 1.362 5.307
```

Computed properties:
E_form (uncorrected): 917.0 meV per atom
space group: No. 122

Material: BiIr2N
Method: DFT, SCAN
State: PBEsol geometry

POSCAR file:
```
BiIr2N
1.0
-2.491 2.491 5.751
2.491 -2.491 5.751
2.491 2.491 -5.751
Bi Ir N
2 4 2
Cartesian
0.000 0.000 0.000
0.000 2.491 2.876
1.245 -0.564 4.313
1.927 1.245 1.438
1.245 3.054 -1.438
0.564 1.245 7.189
2.491 0.000 2.876
0.000 0.000 5.751
```

Computed properties:
E_form (uncorrected): 493.9 meV per atom
energy above the lowest structure with this stoichiometry: 0 meV/atom
space group: No. 122

Material: NbBi2IrN
Method: DFT, SCAN
State: PBEsol geometry

POSCAR file:
```
NbBi2IrN
1.0
4.851 0.000 0.000
0.000 4.851 0.000
0.000 0.000 4.024
Nb Bi Ir N
1 2 1 1
Cartesian
0.000 0.000 0.000
0.000 2.426 2.012
2.426 0.000 2.012
2.426 2.426 0.000
0.000 0.000 2.012
```

Computed properties:
E_form (uncorrected): 647.5 meV per atom
space group: No. 123

Material: Na3BiIr
Method: DFT, SCAN
State: PBEsol geometry

POSCAR file:
```
Na3BiIr
1.0
5.292 0.000 0.000
0.000 5.292 0.000
0.000 0.000 5.292
Na Bi Ir
3 1 1
Cartesian
0.000 0.000 2.646
0.000 2.646 0.000
2.646 0.000 0.000
2.646 2.646 2.646
0.000 0.000 0.000
```

Computed properties:
space group: No. 221
energy of formation from the pure elements: 786 meV per atom

Material: NaBiIr3
Method: DFT, SCAN
State: PBEsol geometry

POSCAR file:
```
NaBiIr3
1.0
4.981 0.000 0.000
0.000 4.981 0.000
0.000 0.000 4.981
Na Bi Ir
1 1 3
Cartesian
0.000 0.000 0.000
2.491 2.491 2.491
0.000 2.491 2.491
2.491 0.000 2.491
2.491 2.491 0.000
```

Computed properties:
energy above the lowest structure with this stoichiometry: 0 meV/atom
space group: No. 221
energy of formation from the pure elements: 1911 meV per atom

Material: Bi3Ir3O11
Method: DFT, SCAN
State: PBEsol geometry

POSCAR file:
```
Bi3Ir3O11
1.0
9.366 0.000 0.000
0.000 9.366 0.000
0.000 0.000 9.366
Bi Ir O
12 12 44
Cartesian
0.000 0.000 0.000
0.000 4.683 4.683
1.091 1.091 3.592
1.091 3.592 1.091
3.592 1.091 1.091
3.592 3.592 3.592
4.683 0.000 4.683
4.683 4.683 0.000
5.774 5.774 5.774
5.774 8.275 8.275
8.275 5.774 8.275
8.275 8.275 5.774
0.853 7.025 2.342
2.342 0.853 7.025
2.342 3.830 7.025
2.342 7.025 5.536
2.342 7.025 8.514
3.830 7.025 2.342
5.536 2.342 7.025
7.025 2.342 0.853
7.025 2.342 3.830
7.025 5.536 2.342
7.025 8.514 2.342
8.514 2.342 7.025
0.372 0.771 7.080
0.372 3.912 6.970
0.771 6.970 4.312
0.771 7.080 0.372
1.020 7.025 7.025
1.376 1.376 1.376
1.376 3.307 3.307
2.286 5.055 5.454
2.286 8.995 8.595
2.342 2.342 5.704
2.342 2.342 8.346
2.342 5.704 2.342
2.342 8.346 2.342
2.397 5.055 8.595
2.397 8.995 5.454
3.307 1.376 3.307
3.307 3.307 1.376
3.663 7.025 7.025
3.912 6.970 0.372
3.912 7.080 4.312
4.312 0.771 6.970
4.312 3.912 7.080
5.055 5.454 2.286
5.055 8.595 2.397
5.454 2.286 5.055
5.454 2.397 8.995
5.704 2.342 2.342
6.059 6.059 7.990
6.059 7.990 6.059
6.970 0.372 3.912
6.970 4.312 0.771
7.025 1.020 7.025
7.025 3.663 7.025
7.025 7.025 1.020
7.025 7.025 3.663
7.080 0.372 0.771
7.080 4.312 3.912
7.990 6.059 6.059
7.990 7.990 7.990
8.346 2.342 2.342
8.595 2.286 8.995
8.595 2.397 5.055
8.995 5.454 2.397
8.995 8.595 2.286
```

Computed properties:
E_form (uncorrected): -1030.3 meV per atom
space group: No. 201

Material: Bi12IrO20
Method: DFT, SCAN
State: PBEsol geometry

POSCAR file:
```
Bi12IrO20
1.0
-5.073 5.073 5.073
5.073 -5.073 5.073
5.073 5.073 -5.073
Bi Ir O
12 1 20
Cartesian
5.224 -1.811 3.301
3.262 1.773 -0.151
6.884 1.773 0.151
1.773 -0.151 3.262
3.301 5.224 -1.811
-0.151 3.262 1.773
4.923 1.811 3.301
3.301 4.923 1.811
1.773 0.151 6.884
1.811 3.301 4.923
-1.811 3.301 5.224
0.151 6.884 1.773
0.000 0.000 0.000
1.965 1.965 -1.965
3.956 3.956 -3.956
1.965 -1.965 1.965
3.956 -3.956 3.956
4.992 2.553 -1.332
1.118 1.118 1.118
6.406 -0.081 2.520
3.741 0.081 2.520
2.553 -1.332 4.992
2.520 3.741 0.081
5.154 2.553 1.332
-1.965 1.965 1.965
3.108 3.108 3.108
0.081 2.520 3.741
2.520 6.406 -0.081
2.553 1.332 5.154
-1.332 4.992 2.553
1.332 5.154 2.553
-3.956 3.956 3.956
-0.081 2.520 6.406
```

Computed properties:
E_form (uncorrected): -1027.4 meV per atom
space group: No. 197

Material: BiSbIrO2
Method: DFT, SCAN
State: PBEsol geometry

POSCAR file:
```
BiSbIrO2
1.0
3.949 0.000 0.000
0.000 3.949 0.000
0.000 0.000 6.055
Bi Sb Ir O
1 1 1 2
Cartesian
0.000 0.000 0.000
1.975 1.975 0.000
0.000 0.000 3.027
0.000 1.975 3.027
1.975 0.000 3.027
```

Computed properties:
E_form (uncorrected): 117.5 meV per atom
space group: No. 123

Material: Bi2IrPb
Method: DFT, SCAN
State: PBEsol geometry

POSCAR file:
```
Bi2IrPb
1.0
-3.262 3.262 6.497
3.262 -3.262 6.497
3.262 3.262 -6.497
Bi Ir Pb
4 2 2
Cartesian
4.893 1.224 -1.624
1.224 1.631 1.624
-1.631 2.038 4.873
2.038 1.631 8.122
0.000 0.000 0.000
0.000 3.262 3.249
3.262 0.000 3.249
0.000 0.000 6.497
```

Computed properties:
space group: No. 122
energy of formation from the pure elements: 324 meV per atom

Material: BiIr3Pd
Method: DFT, SCAN
State: PBEsol geometry

POSCAR file:
```
BiIr3Pd
1.0
4.874 0.000 0.000
0.000 4.874 0.000
0.000 0.000 4.874
Bi Ir Pd
1 3 1
Cartesian
0.000 0.000 0.000
0.000 0.000 2.437
0.000 2.437 0.000
2.437 0.000 0.000
2.437 2.437 2.437
```

Computed properties:
space group: No. 221
energy of formation from the pure elements: 2538 meV per atom

Material: BiIrPd2
Method: DFT, SCAN
State: PBEsol geometry

POSCAR file:
```
BiIrPd2
1.0
-1.941 1.941 9.543
1.941 -1.941 9.543
1.941 1.941 -9.543
Bi Ir Pd
2 2 4
Cartesian
0.000 0.000 0.000
0.000 1.941 4.772
1.941 0.000 4.772
0.000 0.000 9.543
0.970 -0.911 7.158
1.030 0.970 2.386
0.970 2.851 -2.386
0.911 0.970 11.929
```

Computed properties:
space group: No. 122
energy of formation from the pure elements: 318 meV per atom

Material: BiIr2PdS
Method: DFT, SCAN
State: PBEsol geometry

POSCAR file:
```
BiIr2PdS
1.0
4.722 0.000 0.000
0.000 4.722 0.000
0.000 0.000 5.147
Bi Ir Pd S
1 2 1 1
Cartesian
0.000 0.000 0.000
0.000 2.361 2.573
2.361 0.000 2.573
0.000 0.000 2.573
2.361 2.361 0.000
```

Computed properties:
E_form (uncorrected): 1911.6 meV per atom
space group: No. 123

no.,magnetic moment (μB/f.u.)
1,0.0
2,0.0
3,1.2
4,0.0
5,1.5
6,1.2
7,1.0
8,0.0
9,0.0
10,2.2
11,0.0
12,3.7